Entry 1:
CaCoW2 | PBE | optimized geometry

```
data_CaCoW2
_chemical_formula_sum 'Ca1 Co1 W2'
_symmetry_space_group_name_H-M 'P 1 2/m 1'
_symmetry_Int_Tables_number 10
_symmetry_space_group_name_Hall '-P 2y'
_cell_length_a 4.434
_cell_length_b 3.066
_cell_length_c 4.968
_cell_angle_alpha 90.00
_cell_angle_beta 90.10
_cell_angle_gamma 90.00
loop_
_atom_site_label
_atom_site_type_symbol
_atom_site_fract_x
_atom_site_fract_y
_atom_site_fract_z
_atom_site_occupancy
Ca1 Ca 0.000 0.000 0.000 1
Co1 Co 0.500 0.500 0.000 1
W1 W 0.000 0.500 0.500 1
W2 W 0.500 0.000 0.500 1
```

Values from the calculation:
* energy above the most stable polymorph in this dataset: 260 meV per atom
* density: 11.472 g/cm3
* energy of formation from the pure elements: 0.743 eV per atom
* total magnetization: 0.38 Bohr magnetons per cell

=====

Entry 2:
Ta2RuSe | PBE | optimized geometry

```
data_Ta2RuSe
_chemical_formula_sum 'Ta4 Ru2 Se2'
_symmetry_space_group_name_H-M 'C m m 2'
_symmetry_Int_Tables_number 35
_symmetry_space_group_name_Hall 'C 2 -2'
_cell_length_a 3.322
_cell_length_b 4.917
_cell_length_c 8.694
_cell_angle_alpha 90.00
_cell_angle_beta 90.00
_cell_angle_gamma 90.00
loop_
_atom_site_label
_atom_site_type_symbol
_atom_site_fract_x
_atom_site_fract_y
_atom_site_fract_z
_atom_site_occupancy
Ta1 Ta 0.000 0.000 0.000 1
Ta2 Ta 0.000 0.500 0.268 1
Ru1 Ru 0.000 0.000 0.488 1
Se1 Se 0.000 0.500 0.770 1
```

Values from the calculation:
* formation energy (no corrections): 1.64 kcal/mol of atoms
* density: 12.672 g/cm3
* total magnetization: 0.00 Bohr magnetons per cell

=====

Entry 3:
NaTbZnAu | PBE | optimized geometry

```
data_NaTbZnAu
_chemical_formula_sum 'Na4 Tb4 Zn4 Au4'
_symmetry_space_group_name_H-M 'F -4 3 m'
_symmetry_Int_Tables_number 216
_symmetry_space_group_name_Hall 'F -4 2 3'
_cell_length_a 7.054
_cell_length_b 7.054
_cell_length_c 7.054
_cell_angle_alpha 90.00
_cell_angle_beta 90.00
_cell_angle_gamma 90.00
loop_
_atom_site_label
_atom_site_type_symbol
_atom_site_fract_x
_atom_site_fract_y
_atom_site_fract_z
_atom_site_occupancy
Na1 Na 0.000 0.000 0.000 1
Tb1 Tb 0.000 0.000 0.500 1
Zn1 Zn 0.250 0.250 0.750 1
Au1 Au 0.250 0.250 0.250 1
```

Values from the calculation:
* density: 8.409 g/cm3
* energy of formation from the pure elements: -0.334 eV per atom
* total magnetization: 0.00 Bohr magnetons per cell

=====

Entry 4:
YLuCoOs | PBE | optimized geometry

```
data_YLuCoOs
_chemical_formula_sum 'Y4 Lu4 Co4 Os4'
_symmetry_space_group_name_H-M 'F -4 3 m'
_symmetry_Int_Tables_number 216
_symmetry_space_group_name_Hall 'F -4 2 3'
_cell_length_a 6.697
_cell_length_b 6.697
_cell_length_c 6.697
_cell_angle_alpha 90.00
_cell_angle_beta 90.00
_cell_angle_gamma 90.00
loop_
_atom_site_label
_atom_site_type_symbol
_atom_site_fract_x
_atom_site_fract_y
_atom_site_fract_z
_atom_site_occupancy
Y1 Y 0.000 0.000 0.000 1
Lu1 Lu 0.000 0.000 0.500 1
Co1 Co 0.250 0.250 0.250 1
Os1 Os 0.250 0.250 0.750 1
```

Values from the calculation:
* density: 11.348 g/cm3
* energy of formation from the pure elements: -0.165 eV per atom
* total magnetization: 0.00 Bohr magnetons per cell

=====

- The lowest density belongs to which entry?
  NaTbZnAu